Entry 1:
Material: Pa2Cd2Ge
Method: DFT, GGA-PBE
State: relaxed

Lattice parameters (Å, degrees): 8.6958 8.6958 8.6958 153.85 153.85 37.32
Sites, in units of the cell vectors:
1 Pa 0.0799 0.0799 0.0000
2 Pa 0.9201 0.9201 0.0000
3 Cd 0.2500 0.7500 0.5000
4 Cd 0.7500 0.2500 0.5000
5 Ge 0.5000 0.5000 0.0000

Summary:
energy of formation	0.1406	eV per atom
space-group type	I4/mmm (139)

Entry 2:
Material: LiAuBr2
Method: DFT, GGA-PBE
State: relaxed

Lattice parameters (Å, degrees): 4.2872 4.2872 7.4210 90.00 90.00 125.16
Sites, in units of the cell vectors:
1 Li 0.0000 0.0000 0.0000
2 Au 0.0000 0.0000 0.5000
3 Br 0.5000 0.5000 0.2425
4 Br 0.5000 0.5000 0.7575

Summary:
offset from the most stable computed form	234.7	meV per atom
space-group type	Cmmm (65)

Entry 3:
Material: BaCaSn3
Method: DFT, GGA-PBE
State: relaxed

Lattice parameters (Å, degrees): 5.7707 5.7707 5.7707 90.00 90.00 90.00
Sites, in units of the cell vectors:
1 Ba 0.0000 0.0000 0.0000
2 Ca 0.5000 0.5000 0.5000
3 Sn 0.0000 0.5000 0.5000
4 Sn 0.5000 0.0000 0.5000
5 Sn 0.5000 0.5000 0.0000

Summary:
offset from the most stable computed form	596.5	meV per atom
energy of formation	-0.0159	eV per atom
space-group type	Pm-3m (221)

Entry 4:
Material: Li2In2Ag7Sb
Method: DFT, GGA-PBE
State: relaxed

Lattice parameters (Å, degrees): 4.1675 4.1675 13.5754 90.10 90.10 89.93
Sites, in units of the cell vectors:
1 Li 0.0006 0.0006 0.3171
2 Li 0.9994 0.9994 0.6829
3 In 0.4991 0.4991 0.6809
4 In 0.5009 0.5009 0.3191
5 Ag 0.0000 0.0000 0.0000
6 Ag 0.0007 0.5004 0.1663
7 Ag 0.2478 0.2478 0.4997
8 Ag 0.5004 0.0007 0.1663
9 Ag 0.4996 0.9993 0.8337
10 Ag 0.7522 0.7522 0.5003
11 Ag 0.9993 0.4996 0.8337
12 Sb 0.5000 0.5000 0.0000

Summary:
space-group type	C2/m (12)
total DFT energy (no corrections)	-0.208	Ry/atom

Entry 5:
Material: Li2CoIr
Method: DFT, GGA-PBE
State: relaxed

Lattice parameters (Å, degrees): 4.8574 4.8574 4.8574 137.71 137.71 61.34
Sites, in units of the cell vectors:
1 Li 0.2500 0.7500 0.5000
2 Li 0.7500 0.2500 0.5000
3 Co 0.0000 0.0000 0.0000
4 Ir 0.5000 0.5000 0.0000

Summary:
offset from the most stable computed form	113.1	meV per atom
energy of formation	0.0477	eV per atom
space-group type	I4/mmm (139)

Entry 6:
Material: Ho2NpPaN4
Method: DFT, GGA-PBE
State: relaxed

Lattice parameters (Å, degrees): 5.9887 3.4602 6.0312 90.00 109.48 90.00
Sites, in units of the cell vectors:
1 Ho 0.0000 0.0000 0.0000
2 Ho 0.5000 0.5000 0.0000
3 Np 0.0000 0.5000 0.5000
4 Pa 0.5000 0.0000 0.5000
5 N 0.2499 0.0000 0.7433
6 N 0.2555 0.5000 0.2550
7 N 0.7445 0.5000 0.7450
8 N 0.7501 0.0000 0.2567

Summary:
space-group type	P2/m (10)
total DFT energy (no corrections)	-0.709	Ry/atom